[1]
Material: LuMnSn2
Method: DFT, GGA-PBE
State: optimized geometry

Calculated values
Symmetry ... R-3m
Total DFT energy (no corrections) ... -22.4 eV/f.u.
Volume ... 91 Å³/cell

Unit cell a=4.455 b=4.455 c=5.878 alpha=67.73 beta=67.73 gamma=60.00
Atoms (fractional coordinates):
1 Mn 0.500 0.500 0.500
2 Lu 0.000 0.000 0.000
3 Sn 0.770 0.770 0.691
4 Sn 0.230 0.230 0.309



[2]
Material: SrLu3Mn
Method: DFT, GGA-PBE
State: optimized geometry

Calculated values
Symmetry ... Pm-3m
Total DFT energy (no corrections) ... -23.5 eV/f.u.
Volume ... 149 Å³/cell

Unit cell a=5.301 b=5.301 c=5.301 alpha=90.00 beta=90.00 gamma=90.00
Atoms (fractional coordinates):
1 Mn 0.000 0.000 0.000
2 Sr 0.500 0.500 0.500
3 Lu 0.000 0.000 0.500
4 Lu 0.500 0.000 0.000
5 Lu 0.000 0.500 0.000



[3]
Material: LuTaMn2
Method: DFT, GGA-PBE
State: optimized geometry

Calculated values
Symmetry ... P4/mmm
Total DFT energy (no corrections) ... -34.6 eV/f.u.
Volume ... 65 Å³/cell

Unit cell a=3.157 b=3.157 c=6.499 alpha=90.00 beta=90.00 gamma=90.00
Atoms (fractional coordinates):
1 Mn 0.000 0.000 0.785
2 Lu 0.500 0.500 0.500
3 Ta 0.500 0.500 0.000
4 Mn 0.000 0.000 0.215



[4]
Material: LuTaMn4
Method: DFT, GGA-PBE
State: optimized geometry

Calculated values
Symmetry ... F-43m
Total DFT energy (no corrections) ... -53.5 eV/f.u.
Volume ... 85 Å³/cell

Unit cell a=4.930 b=4.930 c=4.930 alpha=60.00 beta=60.00 gamma=60.00
Atoms (fractional coordinates):
1 Mn 0.625 0.625 0.126
2 Lu 0.000 0.000 0.000
3 Mn 0.625 0.625 0.625
4 Ta 0.250 0.250 0.250
5 Mn 0.625 0.126 0.625
6 Mn 0.126 0.625 0.625



[5]
Material: TbLu2Mn
Method: DFT, GGA-PBE
State: optimized geometry

Calculated values
Symmetry ... R-3m
Energy relative to the lowest polymorph listed for this composition ... 0.411 eV/atom
Total DFT energy (no corrections) ... -20.8 eV/f.u.
Volume ... 108 Å³/cell

Unit cell a=3.351 b=3.351 c=11.294 alpha=81.47 beta=81.47 gamma=60.00
Atoms (fractional coordinates):
1 Mn 0.000 0.000 0.000
2 Lu 0.918 0.918 0.245
3 Tb 0.500 0.500 0.500
4 Lu 0.082 0.082 0.755



[6]
Material: TbLu3Mn
Method: DFT, GGA-PBE
State: optimized geometry

Calculated values
Symmetry ... Pm-3m
Total DFT energy (no corrections) ... -26.3 eV/f.u.
Volume ... 140 Å³/cell

Unit cell a=5.190 b=5.190 c=5.190 alpha=90.00 beta=90.00 gamma=90.00
Atoms (fractional coordinates):
1 Lu 0.000 0.000 0.500
2 Lu 0.000 0.500 0.000
3 Lu 0.500 0.000 0.000
4 Tb 0.500 0.500 0.500
5 Mn 0.000 0.000 0.000



[7]
Material: TbLuMn4
Method: DFT, GGA-PBE
State: optimized geometry

Calculated values
Symmetry ... F-43m
Total DFT energy (no corrections) ... -45.2 eV/f.u.
Volume ... 92 Å³/cell

Unit cell a=5.076 b=5.076 c=5.076 alpha=60.00 beta=60.00 gamma=60.00
Atoms (fractional coordinates):
1 Lu 0.000 0.000 0.000
2 Mn 0.625 0.125 0.625
3 Mn 0.625 0.625 0.625
4 Mn 0.125 0.625 0.625
5 Tb 0.250 0.250 0.250
6 Mn 0.625 0.625 0.125



[8]
Material: TbLu2Mn
Method: DFT, GGA-PBE
State: optimized geometry

Calculated values
Symmetry ... P4/mmm
Energy relative to the lowest polymorph listed for this composition ... 0.000 eV/atom
Total DFT energy (no corrections) ... -22.4 eV/f.u.
Volume ... 102 Å³/cell

Unit cell a=3.460 b=3.460 c=8.547 alpha=90.00 beta=90.00 gamma=90.00
Atoms (fractional coordinates):
1 Lu 0.000 0.000 0.197
2 Mn 0.500 0.500 0.000
3 Lu 0.000 0.000 0.803
4 Tb 0.500 0.500 0.500



> Look up the total DFT energy (no corrections) of the first one.

-22.4 eV/f.u.



> What is the formula in the first record?

LuMnSn2